PrGaHg2 PBE-GGA optimized geometry; total energy = -2.51 eV/atom; space-group type = No. 38
1.0
4.9631 0.0000 0.0000
0.0000 3.4050 5.7777
0.0000 -3.4050 5.7777
Ga Hg Pr
2 4 2
Direct
0.0000 0.8465 0.3127 Ga
0.0000 0.3127 0.8465 Ga
0.5000 0.1581 0.1581 Hg
0.5000 0.6798 0.1660 Hg
0.5000 0.1660 0.6798 Hg
0.0000 0.8406 0.8406 Hg
0.0000 0.3331 0.3331 Pr
0.5000 0.6633 0.6633 Pr